Entry 1:
DFT (PBE-GGA) results for MgPd2 after structural relaxation.

Results
DFT formation energy   -0.599 eV per atom
Space group   Pnma
Total energy   -4.5922 eV/atom
M_tot   0.00 μB per atom

abc: 5.536 4.184 8.153
angles: 90.00 90.00 90.00
Fractional coordinates of all 12 atoms:
1 Mg 0.167 0.250 0.099
2 Mg 0.333 0.750 0.599
3 Mg 0.667 0.250 0.401
4 Mg 0.833 0.750 0.901
5 Pd 0.069 0.250 0.765
6 Pd 0.157 0.250 0.428
7 Pd 0.343 0.750 0.928
8 Pd 0.431 0.750 0.265
9 Pd 0.569 0.250 0.735
10 Pd 0.657 0.250 0.072
11 Pd 0.843 0.750 0.572
12 Pd 0.931 0.750 0.235

=====

Entry 2:
DFT (PBE-GGA) results for Mg6Pd after structural relaxation.

Results
DFT formation energy   -0.252 eV per atom
Space group   Cmcm
Total energy   -2.3607 eV/atom
M_tot   0.00 μB per atom

abc: 5.575 5.575 9.590
angles: 90.00 90.00 81.45
Fractional coordinates of all 14 atoms:
1 Mg 0.023 0.610 0.250
2 Mg 0.156 0.844 0.593
3 Mg 0.156 0.844 0.907
4 Mg 0.326 0.326 0.000
5 Mg 0.326 0.326 0.500
6 Mg 0.390 0.977 0.250
7 Mg 0.610 0.023 0.750
8 Mg 0.674 0.674 0.000
9 Mg 0.674 0.674 0.500
10 Mg 0.844 0.156 0.093
11 Mg 0.844 0.156 0.407
12 Mg 0.977 0.390 0.750
13 Pd 0.467 0.533 0.750
14 Pd 0.533 0.467 0.250

=====

Entry 3:
DFT (PBE-GGA) results for Mg7Pd after structural relaxation.

Results
DFT formation energy   -0.153 eV per atom
Space group   R-3m
Total energy   -2.1974 eV/atom
M_tot   0.00 μB per atom

abc: 8.393 8.393 8.393
angles: 33.83 33.83 33.83
Fractional coordinates of all 8 atoms:
1 Mg 0.000 0.000 0.000
2 Mg 0.131 0.131 0.131
3 Mg 0.253 0.253 0.253
4 Mg 0.383 0.383 0.383
5 Mg 0.617 0.617 0.617
6 Mg 0.747 0.747 0.747
7 Mg 0.869 0.869 0.869
8 Pd 0.500 0.500 0.500